No. 1
Compound: TaV2Mo4
Source: Alexandria
Functional: PBE
Structure: relaxed

```
7
Lattice="3.201 0.000 -0.422 0.000 3.140 0.000 -0.171 0.000 11.045" Properties=species:S:1:pos:R:3 pbc="T T T"
V 0.601 1.570 4.552
V 2.429 1.570 6.071
Mo 2.816 1.570 8.999
Mo 0.214 1.570 1.624
Mo 1.008 0.000 7.640
Mo 2.022 0.000 2.983
Ta 1.600 0.000 -0.211
```

=====

No. 2
Compound: Ta2V2Mo7
Source: Alexandria
Functional: PBE
Structure: relaxed

```
11
Lattice="-5.654 -4.061 -2.070 2.534 -3.885 -2.247 -1.471 -1.798 4.600" Properties=species:S:1:pos:R:3 pbc="T T T"
Mo 0.057 -2.762 -1.035
Mo -1.165 -6.606 1.332
Mo 0.000 0.000 0.000
Mo -4.648 -6.982 1.319
Mo -3.091 -7.793 -1.343
Mo -1.500 -1.950 1.627
Mo -3.427 -3.138 -1.048
Ta -3.025 -4.492 1.389
Ta -1.566 -5.252 -1.105
V -4.402 -5.694 -0.839
V -0.190 -4.049 1.123
```

=====

No. 3
Compound: Ta6VMo
Source: Alexandria
Functional: PBE
Structure: relaxed

```
8
Lattice="4.389 0.000 1.322 -0.398 4.371 1.322 0.176 0.192 7.365" Properties=species:S:1:pos:R:3 pbc="T T T"
Ta 1.095 1.199 4.312
Ta 2.804 0.667 6.587
Ta 3.757 1.711 3.422
Ta 0.410 2.852 6.587
Ta 1.363 3.897 3.422
Ta 3.072 3.364 5.697
Mo 0.000 0.000 0.000
V 1.996 2.186 1.322
```

=====

No. 4
Compound: TaV6Mo
Source: Alexandria
Functional: PBE
Structure: relaxed

```
8
Lattice="5.315 -0.773 -0.874 -1.349 5.198 -0.874 -1.349 -1.505 5.052" Properties=species:S:1:pos:R:3 pbc="T T T"
V 2.627 -0.386 2.905
V -0.010 3.307 0.398
V -0.671 2.569 2.905
V 3.288 0.351 0.398
V -0.010 -0.011 3.330
V 2.627 2.931 -0.027
Mo 1.308 1.460 1.652
Ta 0.000 0.000 0.000
```

=====

No. 5
Compound: Ta2VMo6
Source: Alexandria
Functional: PBE
Structure: relaxed

```
9
Lattice="2.583 0.000 -0.772 0.000 8.195 0.000 -2.725 -4.097 7.784" Properties=species:S:1:pos:R:3 pbc="T T T"
Mo -0.001 6.807 2.294
Mo -0.140 2.710 4.717
Mo 1.292 5.551 -0.386
Mo -0.001 1.388 2.294
Mo 1.292 2.644 -0.386
Mo -0.140 -2.710 4.717
Ta -1.004 0.000 4.932
Ta 0.862 4.097 2.080
V 0.000 0.000 0.000
```

=====

No. 6
Compound: TaV2Mo
Source: Alexandria
Functional: PBE
Structure: relaxed

```
4
Lattice="-2.183 1.983 -0.134 -2.024 0.114 2.146 3.332 6.195 4.844" Properties=species:S:1:pos:R:3 pbc="T T T"
Mo 0.000 0.000 0.000
Ta -0.438 4.146 3.428
V -0.290 1.991 1.651
V -0.586 6.301 5.204
```

=====

Table of DFT total energy (eV per cell), in record order: -72.736, -115.620, -91.402, -75.739, -96.761, -39.931